Entry 1:
# BaCu2Pt2, optimized geometry, DFT PBE
data_BaCu2Pt2
_chemical_formula_sum 'Ba2 Cu4 Pt4'
_symmetry_space_group_name_H-M 'P 4/m b m'
_symmetry_Int_Tables_number 127
_symmetry_space_group_name_Hall '-P 4 2ab'
_cell_length_a 7.8129
_cell_length_b 7.8129
_cell_length_c 3.0021
_cell_angle_alpha 90.00
_cell_angle_beta 90.00
_cell_angle_gamma 90.00
loop_
_atom_site_label
_atom_site_type_symbol
_atom_site_fract_x
_atom_site_fract_y
_atom_site_fract_z
_atom_site_occupancy
Ba1 Ba 0.0000 0.0000 0.0000 1
Cu1 Cu 0.1167 0.3833 0.0000 1
Pt1 Pt 0.1710 0.6710 0.5000 1
# electronic total energy = -4.585 eV per atom
# DOS(E_F) = 3.35 states/eV/cell
# polymorph energy (0 for the lowest one) = 152 meV/atom
# formation energy from the elements = -14 kJ per mole of atoms
# V = 18.3 Å³ per atom

Entry 2:
# K2Li2Re, optimized geometry, DFT PBE
data_K2Li2Re
_chemical_formula_sum 'K4 Li4 Re2'
_symmetry_space_group_name_H-M 'I 4/m m m'
_symmetry_Int_Tables_number 139
_symmetry_space_group_name_Hall '-I 4 2'
_cell_length_a 6.5584
_cell_length_b 6.5584
_cell_length_c 7.9592
_cell_angle_alpha 90.00
_cell_angle_beta 90.00
_cell_angle_gamma 90.00
loop_
_atom_site_label
_atom_site_type_symbol
_atom_site_fract_x
_atom_site_fract_y
_atom_site_fract_z
_atom_site_occupancy
K1 K 0.0000 0.5000 0.2500 1
Li1 Li 0.0000 0.0000 0.1754 1
Re1 Re 0.0000 0.0000 0.5000 1
# electronic total energy = -2.458 eV per atom
# DOS(E_F) = 5.46 states/eV/cell
# polymorph energy (0 for the lowest one) = 15 meV/atom
# formation energy from the elements = 119 kJ per mole of atoms
# V = 34.2 Å³ per atom

Entry 3:
# MnAl2Pb, optimized geometry, DFT PBE
data_MnAl2Pb
_chemical_formula_sum 'Mn1 Al2 Pb1'
_symmetry_space_group_name_H-M 'P m m 2'
_symmetry_Int_Tables_number 25
_symmetry_space_group_name_Hall 'P 2 -2'
_cell_length_a 3.0389
_cell_length_b 3.7802
_cell_length_c 6.7414
_cell_angle_alpha 90.00
_cell_angle_beta 90.00
_cell_angle_gamma 90.00
loop_
_atom_site_label
_atom_site_type_symbol
_atom_site_fract_x
_atom_site_fract_y
_atom_site_fract_z
_atom_site_occupancy
Mn1 Mn 0.0000 0.0000 0.0000 1
Al1 Al 0.0000 0.0000 0.6183 1
Al2 Al 0.5000 0.5000 0.8434 1
Pb1 Pb 0.5000 0.5000 0.3050 1
# electronic total energy = -4.865 eV per atom
# DOS(E_F) = 2.27 states/eV/cell
# formation energy from the elements = 22 kJ per mole of atoms
# V = 19.4 Å³ per atom

Entry 4:
# Nd2Sm2Y3, optimized geometry, DFT PBE
data_Nd2Sm2Y3
_chemical_formula_sum 'Nd4 Sm4 Y6'
_symmetry_space_group_name_H-M 'C 1 2/m 1'
_symmetry_Int_Tables_number 12
_symmetry_space_group_name_Hall '-C 2y'
_cell_length_a 9.5986
_cell_length_b 6.0017
_cell_length_c 9.1992
_cell_angle_alpha 90.00
_cell_angle_beta 117.45
_cell_angle_gamma 90.00
loop_
_atom_site_label
_atom_site_type_symbol
_atom_site_fract_x
_atom_site_fract_y
_atom_site_fract_z
_atom_site_occupancy
Nd1 Nd 0.2130 0.0000 0.1397 1
Sm1 Sm 0.0705 0.0000 0.7097 1
Y1 Y 0.0000 0.5000 0.0000 1
Y2 Y 0.1417 0.5000 0.4297 1
# electronic total energy = -5.370 eV per atom
# DOS(E_F) = 28.74 states/eV/cell
# polymorph energy (0 for the lowest one) = 0 meV/atom
# formation energy from the elements = 11 kJ per mole of atoms
# V = 33.6 Å³ per atom

Entry 5:
# LiTi3Se, optimized geometry, DFT PBE
data_LiTi3Se
_chemical_formula_sum 'Li1 Ti3 Se1'
_symmetry_space_group_name_H-M 'P m -3 m'
_symmetry_Int_Tables_number 221
_symmetry_space_group_name_Hall '-P 4 2 3'
_cell_length_a 4.7340
_cell_length_b 4.7340
_cell_length_c 4.7340
_cell_angle_alpha 90.00
_cell_angle_beta 90.00
_cell_angle_gamma 90.00
loop_
_atom_site_label
_atom_site_type_symbol
_atom_site_fract_x
_atom_site_fract_y
_atom_site_fract_z
_atom_site_occupancy
Li1 Li 0.0000 0.0000 0.0000 1
Ti1 Ti 0.0000 0.5000 0.5000 1
Se1 Se 0.5000 0.5000 0.5000 1
# electronic total energy = -5.640 eV per atom
# DOS(E_F) = 6.01 states/eV/cell
# polymorph energy (0 for the lowest one) = 0 meV/atom
# V = 21.2 Å³ per atom

Entry 6:
# NdGd3N, optimized geometry, DFT PBE
data_NdGd3N
_chemical_formula_sum 'Nd1 Gd3 N1'
_symmetry_space_group_name_H-M 'P m -3 m'
_symmetry_Int_Tables_number 221
_symmetry_space_group_name_Hall '-P 4 2 3'
_cell_length_a 5.0364
_cell_length_b 5.0364
_cell_length_c 5.0364
_cell_angle_alpha 90.00
_cell_angle_beta 90.00
_cell_angle_gamma 90.00
loop_
_atom_site_label
_atom_site_type_symbol
_atom_site_fract_x
_atom_site_fract_y
_atom_site_fract_z
_atom_site_occupancy
Nd1 Nd 0.0000 0.0000 0.0000 1
Gd1 Gd 0.0000 0.5000 0.5000 1
N1 N 0.5000 0.5000 0.5000 1
# electronic total energy = -11.559 eV per atom
# DOS(E_F) = 6.08 states/eV/cell
# V = 25.5 Å³ per atom

Entry 7:
# PrSm3Ru, optimized geometry, DFT PBE
data_PrSm3Ru
_chemical_formula_sum 'Pr4 Sm12 Ru4'
_symmetry_space_group_name_H-M 'C 1 2/m 1'
_symmetry_Int_Tables_number 12
_symmetry_space_group_name_Hall '-C 2y'
_cell_length_a 12.0855
_cell_length_b 8.6318
_cell_length_c 8.3952
_cell_angle_alpha 90.00
_cell_angle_beta 133.59
_cell_angle_gamma 90.00
loop_
_atom_site_label
_atom_site_type_symbol
_atom_site_fract_x
_atom_site_fract_y
_atom_site_fract_z
_atom_site_occupancy
Pr1 Pr 0.0520 0.0000 0.3425 1
Sm1 Sm 0.0509 0.5000 0.2549 1
Sm2 Sm 0.2484 0.2994 0.7936 1
Ru1 Ru 0.2479 0.5000 0.1130 1
# electronic total energy = -5.802 eV per atom
# DOS(E_F) = 19.57 states/eV/cell
# polymorph energy (0 for the lowest one) = 0 meV/atom
# formation energy from the elements = -15 kJ per mole of atoms
# V = 31.7 Å³ per atom

Entry 8:
# GeSbSe2, optimized geometry, DFT PBE
data_GeSbSe2
_chemical_formula_sum 'Ge3 Sb3 Se6'
_symmetry_space_group_name_H-M 'R -3 m'
_symmetry_Int_Tables_number 166
_symmetry_space_group_name_Hall '-R 3 2"'
_cell_length_a 3.9072
_cell_length_b 3.9072
_cell_length_c 26.3970
_cell_angle_alpha 90.00
_cell_angle_beta 90.00
_cell_angle_gamma 120.00
loop_
_atom_site_label
_atom_site_type_symbol
_atom_site_fract_x
_atom_site_fract_y
_atom_site_fract_z
_atom_site_occupancy
Ge1 Ge 0.0000 0.0000 0.0000 1
Sb1 Sb 0.0000 0.0000 0.5000 1
Se1 Se 0.0000 0.0000 0.1006 1
# electronic total energy = -3.809 eV per atom
# DOS(E_F) = 3.73 states/eV/cell
# polymorph energy (0 for the lowest one) = 197 meV/atom
# V = 29.1 Å³ per atom

Entry 9:
# SrTaNO2, optimized geometry, DFT PBE
data_SrTaNO2
_chemical_formula_sum 'Sr8 Ta8 N8 O16'
_symmetry_space_group_name_H-M 'C 1 2 1'
_symmetry_Int_Tables_number 5
_symmetry_space_group_name_Hall 'C 2y'
_cell_length_a 8.0145
_cell_length_b 8.2559
_cell_length_c 8.1043
_cell_angle_alpha 90.00
_cell_angle_beta 90.02
_cell_angle_gamma 90.00
loop_
_atom_site_label
_atom_site_type_symbol
_atom_site_fract_x
_atom_site_fract_y
_atom_site_fract_z
_atom_site_occupancy
Sr1 Sr 0.0000 0.0000 0.0000 1
Sr2 Sr 0.0000 0.9996 0.5000 1
Sr3 Sr 0.0000 0.5095 0.0000 1
Sr4 Sr 0.0000 0.5106 0.5000 1
Ta1 Ta 0.2465 0.2606 0.2610 1
Ta2 Ta 0.2482 0.2426 0.7494 1
N1 N 0.2143 0.2608 0.5000 1
N2 N 0.2505 0.0091 0.7545 1
O1 O 0.0001 0.2597 0.2042 1
O2 O 0.0000 0.7611 0.2822 1
O3 O 0.2092 0.7622 0.0016 1
O4 O 0.2490 0.5131 0.7595 1
# electronic total energy = -8.758 eV per atom
# V = 13.4 Å³ per atom

Entry 10:
# Rb4H2F, optimized geometry, DFT PBE
data_Rb4H2F
_chemical_formula_sum 'Rb8 H4 F2'
_symmetry_space_group_name_H-M 'I 4/m m m'
_symmetry_Int_Tables_number 139
_symmetry_space_group_name_Hall '-I 4 2'
_cell_length_a 5.5466
_cell_length_b 5.5466
_cell_length_c 15.1900
_cell_angle_alpha 90.00
_cell_angle_beta 90.00
_cell_angle_gamma 90.00
loop_
_atom_site_label
_atom_site_type_symbol
_atom_site_fract_x
_atom_site_fract_y
_atom_site_fract_z
_atom_site_occupancy
Rb1 Rb 0.0000 0.0000 0.1989 1
Rb2 Rb 0.0000 0.5000 0.0000 1
H1 H 0.0000 0.0000 0.3907 1
F1 F 0.0000 0.0000 0.0000 1
# electronic total energy = -2.460 eV per atom
# DOS(E_F) = 4.72 states/eV/cell
# V = 33.4 Å³ per atom

Entry 11:
# Tb6Y3Th, optimized geometry, DFT PBE
data_Tb6Y3Th
_chemical_formula_sum 'Tb12 Y6 Th2'
_symmetry_space_group_name_H-M 'P 1 21/m 1'
_symmetry_Int_Tables_number 11
_symmetry_space_group_name_Hall '-P 2yb'
_cell_length_a 13.0688
_cell_length_b 3.5244
_cell_length_c 14.3222
_cell_angle_alpha 90.00
_cell_angle_beta 100.40
_cell_angle_gamma 90.00
loop_
_atom_site_label
_atom_site_type_symbol
_atom_site_fract_x
_atom_site_fract_y
_atom_site_fract_z
_atom_site_occupancy
Tb1 Tb 0.0006 0.2500 0.1905 1
Tb2 Tb 0.1554 0.7500 0.3793 1
Tb3 Tb 0.2288 0.2500 0.7999 1
Tb4 Tb 0.2791 0.2500 0.2130 1
Tb5 Tb 0.3093 0.2500 0.5789 1
Tb6 Tb 0.3792 0.7500 0.0155 1
Y1 Y 0.0779 0.7500 0.5971 1
Y2 Y 0.1262 0.2500 0.0022 1
Y3 Y 0.4245 0.7500 0.3995 1
Th1 Th 0.4609 0.7500 0.7775 1
# electronic total energy = -5.381 eV per atom
# DOS(E_F) = 29.25 states/eV/cell
# polymorph energy (0 for the lowest one) = 0 meV/atom
# formation energy from the elements = 8 kJ per mole of atoms
# V = 32.4 Å³ per atom

Entry 12:
# Y2PdSe, optimized geometry, DFT PBE
data_Y2PdSe
_chemical_formula_sum 'Y8 Pd4 Se4'
_symmetry_space_group_name_H-M 'C m c m'
_symmetry_Int_Tables_number 63
_symmetry_space_group_name_Hall '-C 2c 2'
_cell_length_a 3.8913
_cell_length_b 22.7340
_cell_length_c 4.2805
_cell_angle_alpha 90.00
_cell_angle_beta 90.00
_cell_angle_gamma 90.00
loop_
_atom_site_label
_atom_site_type_symbol
_atom_site_fract_x
_atom_site_fract_y
_atom_site_fract_z
_atom_site_occupancy
Y1 Y 0.0000 0.0640 0.2500 1
Y2 Y 0.0000 0.3200 0.2500 1
Pd1 Pd 0.0000 0.4563 0.2500 1
Se1 Se 0.0000 0.1925 0.2500 1
# electronic total energy = -6.729 eV per atom
# DOS(E_F) = 10.81 states/eV/cell
# V = 23.7 Å³ per atom